Entry 1
VASP calculation (PBE) on BaGa3Mo after structural relaxation.

Values from the calculation:
For the mass density, the calculation gives 3.7 g cm⁻³. The magnetization comes out at 0.781 μB per atom.

CIF file:
```
data_BaGa3Mo
_cell_length_a 5.828
_cell_length_b 5.828
_cell_length_c 5.828
_cell_angle_alpha 90.00
_cell_angle_beta 90.00
_cell_angle_gamma 90.00
_symmetry_space_group_name_H-M 'P m -3 m'
_symmetry_Int_Tables_number 221
_symmetry_space_group_name_Hall '-P 4 2 3'
loop_
_atom_site_label
_atom_site_fract_x
_atom_site_fract_y
_atom_site_fract_z
Ba1 0.000 0.000 0.000
Ga1 0.000 0.000 0.500
Mo1 0.500 0.500 0.500
```

---

Entry 2
VASP calculation (PBE) on BaGa3Mo after structural relaxation.

Values from the calculation:
For the mass density, the calculation gives 5.9 g cm⁻³. The magnetization comes out at 0.000 μB per atom.

CIF file:
```
data_BaGa3Mo
_cell_length_a 5.004
_cell_length_b 5.004
_cell_length_c 5.004
_cell_angle_alpha 90.00
_cell_angle_beta 90.00
_cell_angle_gamma 90.00
_symmetry_space_group_name_H-M 'P m -3 m'
_symmetry_Int_Tables_number 221
_symmetry_space_group_name_Hall '-P 4 2 3'
loop_
_atom_site_label
_atom_site_fract_x
_atom_site_fract_y
_atom_site_fract_z
Ba1 0.000 0.000 0.000
Ga1 0.000 0.500 0.500
Mo1 0.500 0.500 0.500
```

---

Bottom line: entry 2, by a margin of 196.3 kJ/mol of atoms.

---

Entry 1
VASP calculation (PBE) on BaGa2ReMo after structural relaxation.

Values from the calculation:
For the mass density, the calculation gives 6.7 g cm⁻³. The magnetization comes out at 1.011 μB per atom.

CIF file:
```
data_BaGa2ReMo
_cell_length_a 4.970
_cell_length_b 4.970
_cell_length_c 5.599
_cell_angle_alpha 90.00
_cell_angle_beta 90.00
_cell_angle_gamma 90.00
_symmetry_space_group_name_H-M 'P 4/m m m'
_symmetry_Int_Tables_number 123
_symmetry_space_group_name_Hall '-P 4 2'
loop_
_atom_site_label
_atom_site_fract_x
_atom_site_fract_y
_atom_site_fract_z
Ba1 0.000 0.000 0.000
Ga1 0.000 0.500 0.500
Re1 0.000 0.000 0.500
Mo1 0.500 0.500 0.000
```

---

Entry 2
VASP calculation (PBE) on BaGa2ReMo after structural relaxation.

Values from the calculation:
For the mass density, the calculation gives 7.5 g cm⁻³. The magnetization comes out at 0.368 μB per atom.

CIF file:
```
data_BaGa2ReMo
_cell_length_a 4.993
_cell_length_b 4.993
_cell_length_c 4.951
_cell_angle_alpha 90.00
_cell_angle_beta 90.00
_cell_angle_gamma 90.00
_symmetry_space_group_name_H-M 'P 4/m m m'
_symmetry_Int_Tables_number 123
_symmetry_space_group_name_Hall '-P 4 2'
loop_
_atom_site_label
_atom_site_fract_x
_atom_site_fract_y
_atom_site_fract_z
Ba1 0.000 0.000 0.000
Ga1 0.000 0.500 0.500
Re1 0.500 0.500 0.500
Mo1 0.500 0.500 0.000
```

---

Bottom line: entry 2, by a margin of 82.7 kJ/mol of atoms.

---

Entry 1
VASP calculation (PBE) on Ba3GaN after structural relaxation.

Values from the calculation:
For the mass density, the calculation gives 4.5 g cm⁻³. The magnetization comes out at 0.000 μB per atom.

CIF file:
```
data_Ba3GaN
_cell_length_a 7.470
_cell_length_b 7.515
_cell_length_c 7.848
_cell_angle_alpha 71.59
_cell_angle_beta 81.07
_cell_angle_gamma 60.26
_symmetry_space_group_name_H-M 'P -1'
_symmetry_Int_Tables_number 2
_symmetry_space_group_name_Hall '-P 1'
loop_
_atom_site_label
_atom_site_fract_x
_atom_site_fract_y
_atom_site_fract_z
Ba1 0.000 0.061 0.205
Ba2 0.402 0.447 0.224
Ba3 0.404 0.150 0.774
Ga1 0.003 0.641 0.551
N1 0.335 0.833 0.000
```

---

Entry 2
VASP calculation (PBE) on Ba3GaN after structural relaxation.

Values from the calculation:
For the mass density, the calculation gives 4.7 g cm⁻³. The magnetization comes out at 0.345 μB per atom.

CIF file:
```
data_Ba3GaN
_cell_length_a 5.589
_cell_length_b 5.589
_cell_length_c 5.589
_cell_angle_alpha 90.00
_cell_angle_beta 90.00
_cell_angle_gamma 90.00
_symmetry_space_group_name_H-M 'P m -3 m'
_symmetry_Int_Tables_number 221
_symmetry_space_group_name_Hall '-P 4 2 3'
loop_
_atom_site_label
_atom_site_fract_x
_atom_site_fract_y
_atom_site_fract_z
Ba1 0.000 0.000 0.500
Ga1 0.500 0.500 0.500
N1 0.000 0.000 0.000
```

---

Entry 3
VASP calculation (PBE) on Ba3GaN after structural relaxation.

Values from the calculation:
For the mass density, the calculation gives 4.5 g cm⁻³. The magnetization comes out at 0.000 μB per atom.

CIF file:
```
data_Ba3GaN
_cell_length_a 5.835
_cell_length_b 11.076
_cell_length_c 11.271
_cell_angle_alpha 90.00
_cell_angle_beta 90.00
_cell_angle_gamma 90.00
_symmetry_space_group_name_H-M 'C m c m'
_symmetry_Int_Tables_number 63
_symmetry_space_group_name_Hall '-C 2c 2'
loop_
_atom_site_label
_atom_site_fract_x
_atom_site_fract_y
_atom_site_fract_z
Ba1 0.000 0.007 0.250
Ba2 0.000 0.348 0.079
Ga1 0.000 0.318 0.750
N1 0.000 0.495 0.750
```

---

Bottom line: entry 1, by a margin of 5.0 kJ/mol of atoms.

---

Entry 1
VASP calculation (PBE) on Ba6Ga2N after structural relaxation.

Values from the calculation:
For the mass density, the calculation gives 4.5 g cm⁻³. The magnetization comes out at 0.037 μB per atom.

CIF file:
```
data_Ba6Ga2N
_cell_length_a 7.827
_cell_length_b 8.290
_cell_length_c 13.634
_cell_angle_alpha 90.00
_cell_angle_beta 124.50
_cell_angle_gamma 90.00
_symmetry_space_group_name_H-M 'P 1 21/c 1'
_symmetry_Int_Tables_number 14
_symmetry_space_group_name_Hall '-P 2ybc'
loop_
_atom_site_label
_atom_site_fract_x
_atom_site_fract_y
_atom_site_fract_z
Ba1 0.135 0.020 0.234
Ba2 0.225 0.714 0.047
Ba3 0.340 0.181 0.054
Ga1 0.274 0.076 0.746
N1 0.000 0.000 0.000
```

---

Entry 2
VASP calculation (PBE) on Ba6Ga2N after structural relaxation.

Values from the calculation:
For the mass density, the calculation gives 3.9 g cm⁻³. The magnetization comes out at 0.000 μB per atom.

CIF file:
```
data_Ba6Ga2N
_cell_length_a 15.466
_cell_length_b 4.423
_cell_length_c 13.116
_cell_angle_alpha 90.00
_cell_angle_beta 110.18
_cell_angle_gamma 90.00
_symmetry_space_group_name_H-M 'C 1 2/m 1'
_symmetry_Int_Tables_number 12
_symmetry_space_group_name_Hall '-C 2y'
loop_
_atom_site_label
_atom_site_fract_x
_atom_site_fract_y
_atom_site_fract_z
Ba1 0.017 0.000 0.309
Ba2 0.158 0.500 0.056
Ba3 0.173 0.000 0.601
Ga1 0.175 0.500 0.806
N1 0.000 0.000 0.500
```

---

Bottom line: entry 1, by a margin of 15.4 kJ/mol of atoms.

---

Entry 1
VASP calculation (PBE) on BaNaGa after structural relaxation.

Values from the calculation:
For the mass density, the calculation gives 3.2 g cm⁻³. The magnetization comes out at 0.000 μB per atom.

CIF file:
```
data_BaNaGa
_cell_length_a 7.703
_cell_length_b 4.448
_cell_length_c 14.126
_cell_angle_alpha 90.00
_cell_angle_beta 90.04
_cell_angle_gamma 90.00
_symmetry_space_group_name_H-M 'C 1 2/m 1'
_symmetry_Int_Tables_number 12
_symmetry_space_group_name_Hall '-C 2y'
loop_
_atom_site_label
_atom_site_fract_x
_atom_site_fract_y
_atom_site_fract_z
Ba1 0.000 0.000 0.171
Na1 0.167 0.500 0.410
Ga1 0.167 0.500 0.007
```

---

Entry 2
VASP calculation (PBE) on BaNaGa after structural relaxation.

Values from the calculation:
For the mass density, the calculation gives 3.3 g cm⁻³. The magnetization comes out at 0.000 μB per atom.

CIF file:
```
data_BaNaGa
_cell_length_a 9.612
_cell_length_b 6.387
_cell_length_c 8.286
_cell_angle_alpha 90.00
_cell_angle_beta 113.58
_cell_angle_gamma 90.00
_symmetry_space_group_name_H-M 'C 1 2/m 1'
_symmetry_Int_Tables_number 12
_symmetry_space_group_name_Hall '-C 2y'
loop_
_atom_site_label
_atom_site_fract_x
_atom_site_fract_y
_atom_site_fract_z
Ba1 0.133 0.000 0.365
Na1 0.250 0.250 0.000
Ga1 0.018 0.500 0.660
```

---

Bottom line: entry 1, by a margin of 16.7 kJ/mol of atoms.

---

Entry 1
VASP calculation (PBE) on BaNaGa after structural relaxation.

Values from the calculation:
For the mass density, the calculation gives 3.4 g cm⁻³. The magnetization comes out at 0.000 μB per atom.

CIF file:
```
data_BaNaGa
_cell_length_a 4.865
_cell_length_b 20.677
_cell_length_c 4.463
_cell_angle_alpha 90.00
_cell_angle_beta 90.00
_cell_angle_gamma 90.00
_symmetry_space_group_name_H-M 'C m c m'
_symmetry_Int_Tables_number 63
_symmetry_space_group_name_Hall '-C 2c 2'
loop_
_atom_site_label
_atom_site_fract_x
_atom_site_fract_y
_atom_site_fract_z
Ba1 0.000 0.092 0.250
Na1 0.000 0.296 0.250
Ga1 0.000 0.469 0.250
```

---

Entry 2
VASP calculation (PBE) on BaNaGa after structural relaxation.

Values from the calculation:
For the mass density, the calculation gives 3.8 g cm⁻³. The magnetization comes out at 0.000 μB per atom.

CIF file:
```
data_BaNaGa
_cell_length_a 5.4547
_cell_length_b 5.4547
_cell_length_c 3.9318
_cell_angle_alpha 90.00
_cell_angle_beta 90.00
_cell_angle_gamma 120.00
_symmetry_space_group_name_H-M 'P 3 m 1'
_symmetry_Int_Tables_number 156
_symmetry_space_group_name_Hall 'P 3 -2"'
loop_
_atom_site_label
_atom_site_fract_x
_atom_site_fract_y
_atom_site_fract_z
Ba1 0.0000 0.0000 0.0000
Na1 0.6667 0.3333 0.4988
Ga1 0.3333 0.6667 0.5009
```

---

Bottom line: entry 1, by a margin of 15.4 kJ/mol of atoms.